VASP calculation (GGA-PBE) on a geometry-optimized TaIrPt2 structure.

```
TaIrPt2
1.0
4.898 -0.006 0.001
4.072 2.722 0.001
0.858 0.260 4.738
Ir Pt Ta
1 2 1
Cartesian
7.370 2.231 3.555 Ir
0.861 0.261 4.735 Pt
4.910 1.487 2.373 Pt
2.457 0.744 1.185 Ta
```

SG = No. 12
Excess energy over the best structure of this formula in the dataset = 0.245 eV per atom
Raw total energy = -34.34 eV per cell
Calculated formation energy = -387.4 meV/atom
Density of states at the Fermi level = 1.36 states/eV/atom

=====

VASP calculation (GGA-PBE) on a geometry-optimized Cs2LiAg2Cl7 structure.

```
Cs2LiAg2Cl7
1.0
5.184 -0.003 0.011
0.003 5.184 0.011
2.560 2.556 13.334
Cs Li Ag Cl
2 1 2 7
Cartesian
5.174 5.168 4.744 Cs
2.573 2.570 8.611 Cs
0.000 0.000 0.000 Li
5.161 5.155 10.867 Ag
2.586 2.583 2.488 Ag
2.594 2.590 0.011 Cl
2.581 2.578 5.052 Cl
5.166 5.159 8.303 Cl
5.179 2.580 2.233 Cl
2.586 5.176 2.233 Cl
5.161 2.562 11.122 Cl
2.568 5.158 11.122 Cl
```

SG = No. 139
E_form (uncorrected) = -1.08 eV/atom
Raw total energy = -35.23 eV per cell
Density of states at the Fermi level = 0.24 states/eV/atom

=====

VASP calculation (GGA-PBE) on a geometry-optimized PHCl2F structure.

```
PHCl2F
1.0
-0.364 0.032 -4.694
-0.059 -4.707 -0.028
-3.220 0.039 0.250
P F H Cl
1 1 1 2
Cartesian
-1.610 0.019 0.125 P
-1.821 -2.318 -2.236 F
0.000 0.000 0.000 H
-0.029 -2.354 -0.014 Cl
-0.182 0.016 -2.347 Cl
```

SG = No. 123
Excess energy over the best structure of this formula in the dataset = 0.000 eV per atom
Raw total energy = -12.09 eV per cell
Density of states at the Fermi level = 0.71 states/eV/atom

=====

VASP calculation (GGA-PBE) on a geometry-optimized CsMgCd2Cu structure.

```
CsMgCd2Cu
1.0
-3.729 -1.097 -3.639
3.661 -2.406 -3.026
-1.003 -4.540 2.396
Cs Mg Cu Cd
1 1 1 2
Cartesian
-0.535 -4.021 -2.135 Cs
-0.501 -2.270 1.198 Mg
0.000 0.000 0.000 Cu
1.831 -1.203 -1.513 Cd
-1.864 -0.548 -1.820 Cd
```

SG = No. 123
Raw total energy = -7.88 eV per cell
Calculated formation energy = 99.5 meV/atom
Density of states at the Fermi level = 0.54 states/eV/atom